(1)
Li2ZrZn2Pd2 after structural relaxation. Source: Alexandria via LeMat-Bulk, functional PBE-GGA.

Values from the calculation:
**M_tot**: 0.00 μB/f.u.
**E_tot**: -28.30 eV for the cell shown
**Density of states at the Fermi level**: 2.70 states/eV/f.u.

a = 4.792 Å, b = 4.792 Å, c = 6.181 Å
α = 96.11°, β = 96.11°, γ = 49.92°
Sites, in units of the cell vectors:
1 Li 0.087 0.087 0.196
2 Li 0.913 0.913 0.804
3 Zr 0.500 0.500 0.500
4 Zn 0.357 0.357 0.058
5 Zn 0.643 0.643 0.942
6 Pd 0.206 0.206 0.657
7 Pd 0.794 0.794 0.343

---

(2)
MoAs2W after structural relaxation. Source: Alexandria via LeMat-Bulk, functional PBE-GGA.

Values from the calculation:
**M_tot**: 0.00 μB/f.u.
**Density of states at the Fermi level**: 3.52 states/eV/f.u.
**Energy relative to the lowest polymorph listed for this composition**: 0.2897 eV/atom

a = 4.347 Å, b = 4.347 Å, c = 5.254 Å
α = 101.57°, β = 101.57°, γ = 41.26°
Sites, in units of the cell vectors:
1 Mo 0.000 0.000 0.000
2 As 0.250 0.250 0.750
3 As 0.750 0.750 0.250
4 W 0.500 0.500 0.500

---

(3)
YMgNO2 after structural relaxation. Source: Alexandria via LeMat-Bulk, functional PBE-GGA.

Values from the calculation:
**M_tot**: 1.98 μB/f.u.
**Density of states at the Fermi level**: 2.08 states/eV/f.u.
**E_form (uncorrected)**: -1.38 eV per atom

a = 3.876 Å, b = 3.876 Å, c = 3.948 Å
α = 90.00°, β = 90.00°, γ = 90.00°
Sites, in units of the cell vectors:
1 Y 0.000 0.000 0.000
2 Mg 0.500 0.500 0.500
3 N 0.500 0.500 0.000
4 O 0.000 0.500 0.500
5 O 0.500 0.000 0.500

---

(4)
CaTc4P3 after structural relaxation. Source: Alexandria via LeMat-Bulk, functional PBE-GGA.

Values from the calculation:
**M_tot**: 0.00 μB/f.u.
**E_tot**: -63.61 eV for the cell shown
**Density of states at the Fermi level**: 8.61 states/eV/f.u.

a = 4.071 Å, b = 4.071 Å, c = 7.718 Å
α = 90.00°, β = 90.00°, γ = 90.00°
Sites, in units of the cell vectors:
1 Ca 0.000 0.000 0.000
2 Tc 0.000 0.500 0.325
3 Tc 0.000 0.500 0.675
4 Tc 0.500 0.000 0.325
5 Tc 0.500 0.000 0.675
6 P 0.000 0.000 0.500
7 P 0.500 0.500 0.167
8 P 0.500 0.500 0.833